# 1
YHf3B | PBE-GGA | optimized geometry

Cell lengths 5.120, 5.120, 5.120 Å; angles 90.00, 90.00, 90.00 degrees
Positions (direct):
Hf1 0.000 0.500 0.000
Hf2 0.000 0.000 0.500
Hf3 0.500 0.000 0.000
Y1 0.000 0.000 0.000
B1 0.500 0.500 0.500

E_form ... 2.526 eV/atom
E above lowest polymorph ... 2514 meV/atom
ρ ... 7.9 g/cm³

---

# 2
YHf3B | PBE-GGA | optimized geometry

Cell lengths 4.754, 4.754, 4.754 Å; angles 90.00, 90.00, 90.00 degrees
Positions (direct):
Hf1 0.500 0.000 0.000
Hf2 0.000 0.000 0.500
Hf3 0.000 0.500 0.000
Y1 0.500 0.500 0.500
B1 0.000 0.000 0.000

E_form ... 0.012 eV/atom
E above lowest polymorph ... 0 meV/atom
ρ ... 9.8 g/cm³

---

# 3
HfZnB | PBE-GGA | optimized geometry

Cell lengths 3.419, 4.431, 6.430 Å; angles 101.06, 90.00, 112.69 degrees
Positions (direct):
Hf1 0.114 0.228 0.825
Hf2 0.886 0.772 0.175
B1 0.410 0.819 0.918
B2 0.590 0.181 0.082
Zn1 0.364 0.729 0.564
Zn2 0.636 0.271 0.436

E_form ... -0.299 eV/atom
ρ ... 9.6 g/cm³

---

# 4
Hf2ZnB | PBE-GGA | optimized geometry

Cell lengths 4.460, 4.460, 4.460 Å; angles 60.00, 60.00, 60.00 degrees
Positions (direct):
B1 0.000 0.000 0.000
Hf1 0.250 0.250 0.250
Hf2 0.750 0.750 0.750
Zn1 0.500 0.500 0.500

E_form ... 0.122 eV/atom
E above lowest polymorph ... 443 meV/atom
ρ ... 11.5 g/cm³

---

# 5
Hf2ZnB | PBE-GGA | optimized geometry

Cell lengths 6.787, 6.787, 5.671 Å; angles 53.25, 53.25, 90.00 degrees
Positions (direct):
Hf1 0.173 0.625 0.250
Hf2 0.875 0.827 0.750
Hf3 0.375 0.423 0.750
Hf4 0.577 0.125 0.250
B1 0.500 0.500 0.000
B2 0.250 0.750 0.500
Zn1 0.000 0.000 0.000
Zn2 0.750 0.250 0.500

E_form ... 0.117 eV/atom
E above lowest polymorph ... 438 meV/atom
ρ ... 10.3 g/cm³

---

# 6
HfZn3B | PBE-GGA | optimized geometry

Cell lengths 4.204, 4.204, 4.204 Å; angles 90.00, 90.00, 90.00 degrees
Positions (direct):
Zn1 0.000 0.500 0.000
Zn2 0.500 0.000 0.000
Zn3 0.000 0.000 0.500
B1 0.000 0.000 0.000
Hf1 0.500 0.500 0.500

E_form ... 0.418 eV/atom
E above lowest polymorph ... 0 meV/atom
ρ ... 8.6 g/cm³

---

# 7
HfZn2B | PBE-GGA | optimized geometry

Cell lengths 3.507, 3.507, 10.110 Å; angles 80.01, 80.01, 90.00 degrees
Positions (direct):
Zn1 0.875 0.863 0.750
Zn2 0.375 0.387 0.750
Zn3 0.613 0.125 0.250
Zn4 0.137 0.625 0.250
B1 0.500 0.500 0.000
B2 0.250 0.750 0.500
Hf1 0.750 0.250 0.500
Hf2 0.000 0.000 0.000

E_form ... 0.210 eV/atom
ρ ... 8.8 g/cm³

---

# 8
Hf2ZnB | PBE-GGA | optimized geometry

Cell lengths 3.421, 3.421, 7.090 Å; angles 76.04, 76.04, 60.00 degrees
Positions (direct):
Hf1 0.730 0.730 0.811
Hf2 0.270 0.270 0.189
Zn1 0.500 0.500 0.500
B1 0.000 0.000 0.000

E_form ... -0.321 eV/atom
E above lowest polymorph ... 0 meV/atom
ρ ... 10.4 g/cm³

---

# 9
HfZn3B | PBE-GGA | optimized geometry

Cell lengths 5.258, 5.258, 5.258 Å; angles 90.00, 90.00, 90.00 degrees
Positions (direct):
Zn1 0.000 0.000 0.500
Zn2 0.000 0.500 0.000
Zn3 0.500 0.000 0.000
Hf1 0.000 0.000 0.000
B1 0.500 0.500 0.500

E_form ... 1.897 eV/atom
E above lowest polymorph ... 1479 meV/atom
ρ ... 4.4 g/cm³

---

# 10
HfZr2ZnB | PBE-GGA | optimized geometry

Cell lengths 4.871, 4.822, 4.871 Å; angles 90.00, 90.00, 90.00 degrees
Positions (direct):
B1 0.500 0.500 0.500
Zr1 0.000 0.000 0.500
Zr2 0.500 0.000 0.000
Zn1 0.000 0.000 0.000
Hf1 0.000 0.500 0.000

E_form ... 1.309 eV/atom
ρ ... 6.3 g/cm³

---

# 11
HfZrB3 | PBE-GGA | optimized geometry

Cell lengths 4.207, 4.207, 4.207 Å; angles 90.00, 90.00, 90.00 degrees
Positions (direct):
B1 0.000 0.000 0.500
B2 0.000 0.500 0.000
B3 0.500 0.000 0.000
Hf1 0.500 0.500 0.500
Zr1 0.000 0.000 0.000

E_form ... 1.098 eV/atom
E above lowest polymorph ... 157 meV/atom
ρ ... 6.7 g/cm³

---

# 12
Hf2ZrB6 | PBE-GGA | optimized geometry

Cell lengths 3.521, 5.460, 5.460 Å; angles 120.00, 90.00, 90.00 degrees
Positions (direct):
B1 0.500 0.665 0.665
B2 0.500 0.335 0.000
B3 0.500 0.000 0.335
B4 0.500 0.665 0.000
B5 0.500 0.335 0.335
B6 0.500 0.000 0.665
Zr1 0.000 0.000 0.000
Hf1 0.000 0.667 0.333
Hf2 0.000 0.333 0.667

E_form ... -1.008 eV/atom
ρ ... 9.4 g/cm³

---

# 13
Hf3ZrB | PBE-GGA | optimized geometry

Cell lengths 4.663, 4.663, 4.663 Å; angles 90.00, 90.00, 90.00 degrees
Positions (direct):
B1 0.000 0.000 0.000
Hf1 0.000 0.000 0.500
Hf2 0.000 0.500 0.000
Hf3 0.500 0.000 0.000
Zr1 0.500 0.500 0.500

E_form ... -0.035 eV/atom
E above lowest polymorph ... 0 meV/atom
ρ ... 10.4 g/cm³

---

# 14
Hf3ZrB | PBE-GGA | optimized geometry

Cell lengths 5.065, 5.065, 5.065 Å; angles 90.00, 90.00, 90.00 degrees
Positions (direct):
Hf1 0.500 0.000 0.000
Hf2 0.000 0.000 0.500
Hf3 0.000 0.500 0.000
B1 0.500 0.500 0.500
Zr1 0.000 0.000 0.000

E_form ... 2.128 eV/atom
E above lowest polymorph ... 2162 meV/atom
ρ ... 8.1 g/cm³

---

# 15
HfZr2B2 | PBE-GGA | optimized geometry

Cell lengths 6.493, 6.493, 3.577 Å; angles 90.00, 90.00, 90.00 degrees
Positions (direct):
Zr1 0.178 0.678 0.500
Zr2 0.322 0.178 0.500
Zr3 0.678 0.822 0.500
Zr4 0.822 0.322 0.500
B1 0.097 0.403 0.000
B2 0.597 0.097 0.000
B3 0.403 0.903 0.000
B4 0.903 0.597 0.000
Hf1 0.000 0.000 0.000
Hf2 0.500 0.500 0.000

E_form ... -0.447 eV/atom
ρ ... 8.4 g/cm³

---

# 16
HfZrB | PBE-GGA | optimized geometry

Cell lengths 5.854, 5.854, 6.459 Å; angles 63.06, 63.06, 60.00 degrees
Positions (direct):
Zr1 0.248 0.583 0.254
Zr2 0.583 0.914 0.254
Zr3 0.914 0.248 0.254
B1 0.163 0.163 0.512
B2 0.666 0.666 0.003
B3 0.333 0.333 0.001
Hf1 0.415 0.080 0.758
Hf2 0.080 0.746 0.758
Hf3 0.746 0.415 0.758

E_form ... -0.276 eV/atom
ρ ... 8.6 g/cm³

---

# 17
Hf2ZrB | PBE-GGA | optimized geometry

Cell lengths 3.439, 5.549, 8.024 Å; angles 90.00, 90.00, 108.04 degrees
Positions (direct):
Hf1 0.357 0.714 0.939
Hf2 0.357 0.714 0.561
Hf3 0.643 0.286 0.061
Hf4 0.643 0.286 0.439
Zr1 0.916 0.833 0.250
Zr2 0.084 0.167 0.750
B1 0.242 0.484 0.250
B2 0.758 0.516 0.750

E_form ... -0.242 eV/atom
ρ ... 10.5 g/cm³

---

# 18
Hf2ZrB | PBE-GGA | optimized geometry

Cell lengths 7.605, 7.605, 5.987 Å; angles 50.58, 50.58, 90.00 degrees
Positions (direct):
B1 0.500 0.500 0.000
B2 0.250 0.750 0.500
Hf1 0.375 0.455 0.750
Hf2 0.545 0.125 0.250
Hf3 0.875 0.795 0.750
Hf4 0.205 0.625 0.250
Zr1 0.750 0.250 0.500
Zr2 0.000 0.000 0.000

E_form ... 0.203 eV/atom
ρ ... 10.0 g/cm³

---

# 19
HfZrB3 | PBE-GGA | optimized geometry

Cell lengths 4.222, 4.222, 4.222 Å; angles 90.00, 90.00, 90.00 degrees
Positions (direct):
Hf1 0.000 0.000 0.000
Zr1 0.500 0.500 0.500
B1 0.000 0.500 0.000
B2 0.500 0.000 0.000
B3 0.000 0.000 0.500

E_form ... 0.941 eV/atom
E above lowest polymorph ... 0 meV/atom
ρ ... 6.7 g/cm³

---

# 20
HgB4 | PBE-GGA | optimized geometry

Cell lengths 4.343, 4.343, 4.343 Å; angles 90.00, 90.00, 90.00 degrees
Positions (direct):
Hg1 0.500 0.500 0.500
B1 0.500 0.000 0.500
B2 0.000 0.500 0.500
B3 0.500 0.500 0.000
B4 0.000 0.000 0.000

E_form ... 3.092 eV/atom
ρ ... 4.9 g/cm³

---

# 21
Hg3B | PBE-GGA | optimized geometry

Cell lengths 5.846, 5.846, 5.820 Å; angles 90.00, 90.00, 120.00 degrees
Positions (direct):
Hg1 0.168 0.336 0.250
Hg2 0.664 0.832 0.250
Hg3 0.832 0.664 0.750
Hg4 0.336 0.168 0.750
Hg5 0.832 0.168 0.750
Hg6 0.168 0.832 0.250
B1 0.667 0.333 0.250
B2 0.333 0.667 0.750

E_form ... 1.043 eV/atom
ρ ... 11.8 g/cm³

---

# 22
Ho3HgB | PBE-GGA | optimized geometry

Cell lengths 5.000, 5.000, 5.000 Å; angles 90.00, 90.00, 90.00 degrees
Positions (direct):
Ho1 0.000 0.500 0.000
Ho2 0.500 0.000 0.000
Ho3 0.000 0.000 0.500
B1 0.000 0.000 0.000
Hg1 0.500 0.500 0.500

E_form ... -0.166 eV/atom
ρ ... 9.4 g/cm³

---

# 23
HoHgB2O6 | PBE-GGA | optimized geometry

Cell lengths 6.468, 6.468, 6.641 Å; angles 100.71, 100.71, 107.45 degrees
Positions (direct):
O1 0.495 0.294 0.898
O2 0.066 0.490 0.768
O3 0.510 0.934 0.732
O4 0.490 0.066 0.268
O5 0.081 0.224 0.091
O6 0.294 0.495 0.398
O7 0.224 0.081 0.591
O8 0.776 0.919 0.409
O9 0.706 0.505 0.602
O10 0.919 0.776 0.909
O11 0.934 0.510 0.232
O12 0.505 0.706 0.102
B1 0.903 0.586 0.759
B2 0.414 0.097 0.741
B3 0.097 0.414 0.241
B4 0.586 0.903 0.259
Hg1 0.100 0.900 0.250
Hg2 0.900 0.100 0.750
Ho1 0.426 0.574 0.750
Ho2 0.574 0.426 0.250

ρ ... 6.4 g/cm³
ΔE_f (raw) ... -2.113 eV/atom

---

# 24
Ho3Hg2BRh3 | PBE-GGA | optimized geometry

Cell lengths 3.460, 7.569, 7.569 Å; angles 120.00, 90.00, 90.00 degrees
Positions (direct):
Rh1 0.500 0.788 0.000
Rh2 0.500 0.000 0.788
Rh3 0.500 0.212 0.212
B1 0.000 0.000 0.000
Ho1 0.000 0.647 0.647
Ho2 0.000 0.353 0.000
Ho3 0.000 0.000 0.353
Hg1 0.500 0.667 0.333
Hg2 0.500 0.333 0.667

E_form ... -0.590 eV/atom
ρ ... 11.8 g/cm³

---

# 25
Ho2HgB2Rh5 | PBE-GGA | optimized geometry

Cell lengths 3.226, 9.669, 9.669 Å; angles 90.00, 90.00, 90.00 degrees
Positions (direct):
B1 0.000 0.878 0.378
B2 0.000 0.122 0.622
B3 0.000 0.622 0.878
B4 0.000 0.378 0.122
Ho1 0.000 0.324 0.824
Ho2 0.000 0.176 0.324
Ho3 0.000 0.824 0.676
Ho4 0.000 0.676 0.176
Hg1 0.000 0.000 0.000
Hg2 0.000 0.500 0.500
Rh1 0.500 0.272 0.570
Rh2 0.500 0.070 0.772
Rh3 0.500 0.228 0.070
Rh4 0.500 0.500 0.000
Rh5 0.500 0.728 0.430
Rh6 0.500 0.430 0.272
Rh7 0.500 0.772 0.930
Rh8 0.500 0.000 0.500
Rh9 0.500 0.930 0.228
Rh10 0.500 0.570 0.728

E_form ... -0.698 eV/atom
ρ ... 11.7 g/cm³